CdHgPb14 | PBE | optimized geometry

Cell: 10.0022 10.0103 9.8035 Å, 90.00 90.00 90.00°
Closest atoms and distances in Å follow each position.
Space group Cmmm (No. 65)
Inequivalent atoms, fractional coordinates:
Cd (0.0000, 0.0000, 0.0000)  12 Pb 3.46-3.54
Hg (0.0000, 0.5000, 0.0000)  12 Pb 3.47-3.54
Pb (0.0000, 0.0000, 0.5000)  12 Pb 3.53-3.54
Pb (0.0000, 0.2492, 0.2451)  1 Cd 3.46, 10 Pb 3.47-3.55, 1 Hg 3.48
Pb (0.0000, 0.5000, 0.5000)  12 Pb 3.54
Pb (0.2493, 0.0000, 0.2450)  1 Cd 3.46, 10 Pb 3.47-3.55, 1 Hg 3.47
Pb (0.2500, 0.2500, 0.0000)  8 Pb 3.47, 2 Cd 3.54, 2 Hg 3.54
Pb (0.2500, 0.2500, 0.5000)  12 Pb 3.54

Properties
The formation energy from the elements is 15 meV/atom. The calculation puts the total moment at 0.00 μB/f.u. The calculation puts the calculated density at 10.87 Mg/m³. The total energy comes out at -105.8 eV/cell.